Computed, not measured: a relaxed NiOs3 crystal at the PBE level of DFT.

Lattice parameters (Å, degrees): 4.6555 5.0536 2.7473 74.23 90.00 117.43
Sites, in units of the cell vectors:
Os: 0.4955 0.0000 0.5000
Ni: 0.9978 0.0000 0.0000
Os: 0.0871 0.5008 0.2496
Os: 0.5863 0.4992 0.7504

## Properties
Formation energy ... 0.142 eV/atom
Space-group type ... Imm2